Below is Cr2FeCo after structural relaxation, with properties calculated at the PBE level.

Cell lengths 2.438, 2.438, 7.533 Å; angles 90.00, 90.00, 90.00 degrees
Site moments in Bohr magnetons follow the coordinates.
Fractional coordinates of all 4 atoms:
Co (0.500, 0.500, 0.750)  0.55
Cr (0.000, 0.000, 0.983)  -0.17
Cr (0.500, 0.500, 0.254)  -0.04
Fe (0.000, 0.000, 0.512)  1.93

Properties
ΔH_f (0 K)   116 meV per atom
Crystal system   tetragonal